# BaMnF3 (GGA-PBEsol, optimized geometry)
# **Calculated total energy**: -29.59 eV/cell
# **Formation energy from raw total energies**: -2.3803 eV per atom
# **Magnetization**: 4.57 μB/f.u.
data_BaMnF3
_chemical_formula_sum 'Ba1 Mn1 F3'
_cell_length_a 4.3079
_cell_length_b 4.3079
_cell_length_c 4.3079
_cell_angle_alpha 90.00
_cell_angle_beta 90.00
_cell_angle_gamma 90.00
_symmetry_space_group_name_H-M 'P m -3 m'
_symmetry_Int_Tables_number 221
_symmetry_space_group_name_Hall '-P 4 2 3'
loop_
_atom_site_label
_atom_site_fract_x
_atom_site_fract_y
_atom_site_fract_z
Ba1 0.0000 0.0000 0.0000
Mn1 0.5000 0.5000 0.5000
F1 0.0000 0.5000 0.5000

# Ba5Mn3O12F (GGA-PBEsol, optimized geometry)
# **Calculated total energy**: -310.56 eV/cell
# **Formation energy from raw total energies**: -2.3967 eV per atom
# **Magnetization**: 6.00 μB/f.u.
data_Ba5Mn3O12F
_chemical_formula_sum 'Ba10 Mn6 O24 F2'
_cell_length_a 10.2543
_cell_length_b 10.2543
_cell_length_c 7.6651
_cell_angle_alpha 90.00
_cell_angle_beta 90.00
_cell_angle_gamma 120.00
_symmetry_space_group_name_H-M 'P 63/m'
_symmetry_Int_Tables_number 176
_symmetry_space_group_name_Hall '-P 6c'
loop_
_atom_site_label
_atom_site_fract_x
_atom_site_fract_y
_atom_site_fract_z
Ba1 0.0121 0.7740 0.2500
Ba2 0.3333 0.6667 0.5028
Mn1 0.0289 0.6268 0.7500
O1 0.0916 0.7425 0.5750
O2 0.1151 0.5225 0.7500
O3 0.1611 0.4763 0.2500
F1 0.0000 0.0000 0.0000

# BaTi2MnF (GGA-PBEsol, optimized geometry)
# **Calculated total energy**: -31.28 eV/cell
# **Formation energy from raw total energies**: -0.1604 eV per atom
# **Magnetization**: 0.00 μB/f.u.
data_BaTi2MnF
_chemical_formula_sum 'Ba1 Ti2 Mn1 F1'
_cell_length_a 4.1542
_cell_length_b 4.1542
_cell_length_c 7.0882
_cell_angle_alpha 90.00
_cell_angle_beta 90.00
_cell_angle_gamma 90.00
_symmetry_space_group_name_H-M 'P 4/m m m'
_symmetry_Int_Tables_number 123
_symmetry_space_group_name_Hall '-P 4 2'
loop_
_atom_site_label
_atom_site_fract_x
_atom_site_fract_y
_atom_site_fract_z
Ba1 0.0000 0.0000 0.0000
Ti1 0.0000 0.5000 0.5000
Mn1 0.5000 0.5000 0.5000
F1 0.5000 0.5000 0.0000

# BaMoF7 (GGA-PBEsol, optimized geometry)
# **Calculated total energy**: -214.95 eV/cell
# **Formation energy from raw total energies**: -2.9253 eV per atom
# **Magnetization**: 1.00 μB/f.u.
data_BaMoF7
_chemical_formula_sum 'Ba4 Mo4 F28'
_cell_length_a 5.4454
_cell_length_b 9.8678
_cell_length_c 10.1751
_cell_angle_alpha 90.00
_cell_angle_beta 91.57
_cell_angle_gamma 90.00
_symmetry_space_group_name_H-M 'P 1 21/c 1'
_symmetry_Int_Tables_number 14
loop_
_symmetry_equiv_pos_as_xyz
'x,y,z'
'-x,-y,-z'
'-x,y+1/2,-z+1/2'
'x,-y+1/2,z+1/2'
loop_
_atom_site_label
_atom_site_fract_x
_atom_site_fract_y
_atom_site_fract_z
Ba1 0.1980 0.1713 0.0086
Mo1 0.3274 0.6078 0.1836
F1 0.0388 0.6914 0.2408
F2 0.1168 0.5449 0.6156
F3 0.1750 0.0529 0.6292
F4 0.2626 0.6941 0.0178
F5 0.3787 0.0423 0.3790
F6 0.3889 0.5416 0.3589
F7 0.4817 0.2391 0.7638

# BaZnMoF7 (GGA-PBEsol, optimized geometry)
# **Calculated total energy**: -225.66 eV/cell
# **Formation energy from raw total energies**: -2.7425 eV per atom
# **Magnetization**: 3.00 μB/f.u.
data_BaZnMoF7
_chemical_formula_sum 'Ba4 Zn4 Mo4 F28'
_cell_length_a 5.6434
_cell_length_b 10.0209
_cell_length_c 9.7086
_cell_angle_alpha 90.00
_cell_angle_beta 92.58
_cell_angle_gamma 90.00
_symmetry_space_group_name_H-M 'P 1 21/c 1'
_symmetry_Int_Tables_number 14
loop_
_symmetry_equiv_pos_as_xyz
'x,y,z'
'-x,-y,-z'
'-x,y+1/2,-z+1/2'
'x,-y+1/2,z+1/2'
loop_
_atom_site_label
_atom_site_fract_x
_atom_site_fract_y
_atom_site_fract_z
Ba1 0.2382 0.1781 0.0032
Zn1 0.1873 0.6036 0.8090
Mo1 0.3052 0.6120 0.1846
F1 0.0079 0.7107 0.2474
F2 0.1003 0.5408 0.6265
F3 0.1381 0.0603 0.6219
F4 0.2352 0.6992 0.9939
F5 0.3744 0.0515 0.3809
F6 0.3983 0.5398 0.3723
F7 0.4773 0.7161 0.7483

# BaNO2F (GGA-PBEsol, optimized geometry)
# **Calculated total energy**: -19.41 eV/cell
# **Formation energy from raw total energies**: 0.7388 eV per atom
# **Magnetization**: 6.00 μB/f.u.
data_BaNO2F
_chemical_formula_sum 'Ba1 N1 O2 F1'
_cell_length_a 4.9322
_cell_length_b 4.9322
_cell_length_c 5.8873
_cell_angle_alpha 90.00
_cell_angle_beta 90.00
_cell_angle_gamma 90.00
_symmetry_space_group_name_H-M 'P 4/m m m'
_symmetry_Int_Tables_number 123
_symmetry_space_group_name_Hall '-P 4 2'
loop_
_atom_site_label
_atom_site_fract_x
_atom_site_fract_y
_atom_site_fract_z
Ba1 0.0000 0.0000 0.0000
N1 0.0000 0.0000 0.5000
O1 0.0000 0.5000 0.0000
F1 0.5000 0.5000 0.5000

# BaN2OF (GGA-PBEsol, optimized geometry)
# **Calculated total energy**: -25.07 eV/cell
# **Formation energy from raw total energies**: 0.2611 eV per atom
# **Magnetization**: 0.46 μB/f.u.
data_BaN2OF
_chemical_formula_sum 'Ba1 N2 O1 F1'
_cell_length_a 3.5938
_cell_length_b 3.5938
_cell_length_c 5.0756
_cell_angle_alpha 90.00
_cell_angle_beta 90.00
_cell_angle_gamma 90.00
_symmetry_space_group_name_H-M 'P 4/m m m'
_symmetry_Int_Tables_number 123
_symmetry_space_group_name_Hall '-P 4 2'
loop_
_atom_site_label
_atom_site_fract_x
_atom_site_fract_y
_atom_site_fract_z
Ba1 0.0000 0.0000 0.0000
N1 0.0000 0.5000 0.5000
O1 0.5000 0.5000 0.5000
F1 0.5000 0.5000 0.0000

# BaNO2F (GGA-PBEsol, optimized geometry)
# **Calculated total energy**: -26.42 eV/cell
# **Formation energy from raw total energies**: -0.6643 eV per atom
# **Magnetization**: 0.26 μB/f.u.
data_BaNO2F
_chemical_formula_sum 'Ba1 N1 O2 F1'
_cell_length_a 3.6846
_cell_length_b 3.6846
_cell_length_c 4.3921
_cell_angle_alpha 90.00
_cell_angle_beta 90.00
_cell_angle_gamma 90.00
_symmetry_space_group_name_H-M 'P 4/m m m'
_symmetry_Int_Tables_number 123
_symmetry_space_group_name_Hall '-P 4 2'
loop_
_atom_site_label
_atom_site_fract_x
_atom_site_fract_y
_atom_site_fract_z
Ba1 0.0000 0.0000 0.0000
N1 0.5000 0.5000 0.5000
O1 0.0000 0.5000 0.5000
F1 0.5000 0.5000 0.0000

# BaNOF2 (GGA-PBEsol, optimized geometry)
# **Calculated total energy**: -25.40 eV/cell
# **Formation energy from raw total energies**: -1.1250 eV per atom
# **Magnetization**: 0.00 μB/f.u.
data_BaNOF2
_chemical_formula_sum 'Ba1 N1 O1 F2'
_cell_length_a 4.2929
_cell_length_b 4.2929
_cell_length_c 3.4507
_cell_angle_alpha 90.00
_cell_angle_beta 90.00
_cell_angle_gamma 90.00
_symmetry_space_group_name_H-M 'P 4/m m m'
_symmetry_Int_Tables_number 123
_symmetry_space_group_name_Hall '-P 4 2'
loop_
_atom_site_label
_atom_site_fract_x
_atom_site_fract_y
_atom_site_fract_z
Ba1 0.0000 0.0000 0.0000
N1 0.5000 0.5000 0.5000
O1 0.5000 0.5000 0.0000
F1 0.0000 0.5000 0.5000

# BaN2OF (GGA-PBEsol, optimized geometry)
# **Calculated total energy**: -20.60 eV/cell
# **Formation energy from raw total energies**: 1.1550 eV per atom
# **Magnetization**: 7.00 μB/f.u.
data_BaN2OF
_chemical_formula_sum 'Ba1 N2 O1 F1'
_cell_length_a 5.5781
_cell_length_b 5.5781
_cell_length_c 4.8789
_cell_angle_alpha 90.00
_cell_angle_beta 90.00
_cell_angle_gamma 90.00
_symmetry_space_group_name_H-M 'P 4/m m m'
_symmetry_Int_Tables_number 123
_symmetry_space_group_name_Hall '-P 4 2'
loop_
_atom_site_label
_atom_site_fract_x
_atom_site_fract_y
_atom_site_fract_z
Ba1 0.0000 0.0000 0.0000
N1 0.0000 0.5000 0.0000
O1 0.5000 0.5000 0.5000
F1 0.0000 0.0000 0.5000

# BaOsN2F (GGA-PBEsol, optimized geometry)
# **Calculated total energy**: -37.68 eV/cell
# **Formation energy from raw total energies**: -0.8671 eV per atom
# **Magnetization**: 0.00 μB/f.u.
data_BaOsN2F
_chemical_formula_sum 'Ba1 Os1 N2 F1'
_cell_length_a 3.7961
_cell_length_b 3.7961
_cell_length_c 5.4316
_cell_angle_alpha 90.00
_cell_angle_beta 90.00
_cell_angle_gamma 90.00
_symmetry_space_group_name_H-M 'P 4/m m m'
_symmetry_Int_Tables_number 123
_symmetry_space_group_name_Hall '-P 4 2'
loop_
_atom_site_label
_atom_site_fract_x
_atom_site_fract_y
_atom_site_fract_z
Ba1 0.0000 0.0000 0.0000
Os1 0.5000 0.5000 0.5000
N1 0.0000 0.5000 0.5000
F1 0.5000 0.5000 0.0000

# BaPdN2F (GGA-PBEsol, optimized geometry)
# **Calculated total energy**: -21.11 eV/cell
# **Formation energy from raw total energies**: 1.1949 eV per atom
# **Magnetization**: 5.02 μB/f.u.
data_BaPdN2F
_chemical_formula_sum 'Ba1 Pd1 N2 F1'
_cell_length_a 5.2250
_cell_length_b 5.2250
_cell_length_c 4.7899
_cell_angle_alpha 90.00
_cell_angle_beta 90.00
_cell_angle_gamma 90.00
_symmetry_space_group_name_H-M 'P 4/m m m'
_symmetry_Int_Tables_number 123
_symmetry_space_group_name_Hall '-P 4 2'
loop_
_atom_site_label
_atom_site_fract_x
_atom_site_fract_y
_atom_site_fract_z
Ba1 0.0000 0.0000 0.0000
Pd1 0.5000 0.5000 0.5000
N1 0.0000 0.5000 0.0000
F1 0.0000 0.0000 0.5000

# BaSN2F (GGA-PBEsol, optimized geometry)
# **Calculated total energy**: -27.63 eV/cell
# **Formation energy from raw total energies**: -0.4230 eV per atom
# **Magnetization**: 0.00 μB/f.u.
data_BaSN2F
_chemical_formula_sum 'Ba1 S1 N2 F1'
_cell_length_a 3.6664
_cell_length_b 3.6664
_cell_length_c 5.0498
_cell_angle_alpha 90.00
_cell_angle_beta 90.00
_cell_angle_gamma 90.00
_symmetry_space_group_name_H-M 'P 4/m m m'
_symmetry_Int_Tables_number 123
_symmetry_space_group_name_Hall '-P 4 2'
loop_
_atom_site_label
_atom_site_fract_x
_atom_site_fract_y
_atom_site_fract_z
Ba1 0.0000 0.0000 0.0000
S1 0.5000 0.5000 0.5000
N1 0.0000 0.5000 0.5000
F1 0.5000 0.5000 0.0000

# BaScN2F (GGA-PBEsol, optimized geometry)
# **Calculated total energy**: -35.13 eV/cell
# **Formation energy from raw total energies**: -1.4796 eV per atom
# **Magnetization**: 0.00 μB/f.u.
data_BaScN2F
_chemical_formula_sum 'Ba1 Sc1 N2 F1'
_cell_length_a 4.1633
_cell_length_b 4.1633
_cell_length_c 4.3634
_cell_angle_alpha 90.00
_cell_angle_beta 90.00
_cell_angle_gamma 90.00
_symmetry_space_group_name_H-M 'P 4/m m m'
_symmetry_Int_Tables_number 123
_symmetry_space_group_name_Hall '-P 4 2'
loop_
_atom_site_label
_atom_site_fract_x
_atom_site_fract_y
_atom_site_fract_z
Ba1 0.0000 0.0000 0.0000
Sc1 0.5000 0.5000 0.5000
N1 0.0000 0.5000 0.5000
F1 0.5000 0.5000 0.0000

# BaSeN2F (GGA-PBEsol, optimized geometry)
# **Calculated total energy**: -17.64 eV/cell
# **Formation energy from raw total energies**: 1.4680 eV per atom
# **Magnetization**: 7.00 μB/f.u.
data_BaSeN2F
_chemical_formula_sum 'Ba1 Se1 N2 F1'
_cell_length_a 5.3014
_cell_length_b 5.3014
_cell_length_c 6.4745
_cell_angle_alpha 90.00
_cell_angle_beta 90.00
_cell_angle_gamma 90.00
_symmetry_space_group_name_H-M 'P 4/m m m'
_symmetry_Int_Tables_number 123
_symmetry_space_group_name_Hall '-P 4 2'
loop_
_atom_site_label
_atom_site_fract_x
_atom_site_fract_y
_atom_site_fract_z
Ba1 0.0000 0.0000 0.0000
Se1 0.0000 0.0000 0.5000
N1 0.0000 0.5000 0.0000
F1 0.5000 0.5000 0.5000

# BaSiN2F (GGA-PBEsol, optimized geometry)
# **Calculated total energy**: -21.30 eV/cell
# **Formation energy from raw total energies**: 1.1152 eV per atom
# **Magnetization**: 1.14 μB/f.u.
data_BaSiN2F
_chemical_formula_sum 'Ba1 Si1 N2 F1'
_cell_length_a 4.6301
_cell_length_b 4.6301
_cell_length_c 4.7165
_cell_angle_alpha 90.00
_cell_angle_beta 90.00
_cell_angle_gamma 90.00
_symmetry_space_group_name_H-M 'P 4/m m m'
_symmetry_Int_Tables_number 123
_symmetry_space_group_name_Hall '-P 4 2'
loop_
_atom_site_label
_atom_site_fract_x
_atom_site_fract_y
_atom_site_fract_z
Ba1 0.0000 0.0000 0.0000
Si1 0.5000 0.5000 0.5000
N1 0.0000 0.5000 0.0000
F1 0.0000 0.0000 0.5000

# BaSnNF2 (GGA-PBEsol, optimized geometry)
# **Calculated total energy**: -23.16 eV/cell
# **Formation energy from raw total energies**: -0.8731 eV per atom
# **Magnetization**: 0.11 μB/f.u.
data_BaSnNF2
_chemical_formula_sum 'Ba1 Sn1 N1 F2'
_cell_length_a 4.7890
_cell_length_b 4.7890
_cell_length_c 4.9298
_cell_angle_alpha 90.00
_cell_angle_beta 90.00
_cell_angle_gamma 90.00
_symmetry_space_group_name_H-M 'P 4/m m m'
_symmetry_Int_Tables_number 123
_symmetry_space_group_name_Hall '-P 4 2'
loop_
_atom_site_label
_atom_site_fract_x
_atom_site_fract_y
_atom_site_fract_z
Ba1 0.0000 0.0000 0.0000
Sn1 0.5000 0.5000 0.5000
N1 0.0000 0.0000 0.5000
F1 0.0000 0.5000 0.0000

# BaSrNF2 (GGA-PBEsol, optimized geometry)
# **Calculated total energy**: -24.47 eV/cell
# **Formation energy from raw total energies**: -1.6198 eV per atom
# **Magnetization**: 1.00 μB/f.u.
data_BaSrNF2
_chemical_formula_sum 'Ba1 Sr1 N1 F2'
_cell_length_a 4.3670
_cell_length_b 4.3670
_cell_length_c 11.4030
_cell_angle_alpha 90.00
_cell_angle_beta 90.00
_cell_angle_gamma 90.00
_symmetry_space_group_name_H-M 'P 4/m m m'
_symmetry_Int_Tables_number 123
_symmetry_space_group_name_Hall '-P 4 2'
loop_
_atom_site_label
_atom_site_fract_x
_atom_site_fract_y
_atom_site_fract_z
Ba1 0.0000 0.0000 0.0000
Sr1 0.0000 0.0000 0.5000
N1 0.5000 0.5000 0.0000
F1 0.0000 0.5000 0.5000

# BaSrNF2 (GGA-PBEsol, optimized geometry)
# **Calculated total energy**: -26.88 eV/cell
# **Formation energy from raw total energies**: -2.1015 eV per atom
# **Magnetization**: 1.01 μB/f.u.
data_BaSrNF2
_chemical_formula_sum 'Ba1 Sr1 N1 F2'
_cell_length_a 4.5544
_cell_length_b 4.5544
_cell_length_c 4.8817
_cell_angle_alpha 90.00
_cell_angle_beta 90.00
_cell_angle_gamma 90.00
_symmetry_space_group_name_H-M 'P 4/m m m'
_symmetry_Int_Tables_number 123
_symmetry_space_group_name_Hall '-P 4 2'
loop_
_atom_site_label
_atom_site_fract_x
_atom_site_fract_y
_atom_site_fract_z
Ba1 0.0000 0.0000 0.0000
Sr1 0.5000 0.5000 0.5000
N1 0.5000 0.5000 0.0000
F1 0.0000 0.5000 0.5000

# BaSrN2F (GGA-PBEsol, optimized geometry)
# **Calculated total energy**: -25.71 eV/cell
# **Formation energy from raw total energies**: -0.5474 eV per atom
# **Magnetization**: 3.01 μB/f.u.
data_BaSrN2F
_chemical_formula_sum 'Ba1 Sr1 N2 F1'
_cell_length_a 4.7488
_cell_length_b 4.7488
_cell_length_c 4.5739
_cell_angle_alpha 90.00
_cell_angle_beta 90.00
_cell_angle_gamma 90.00
_symmetry_space_group_name_H-M 'P 4/m m m'
_symmetry_Int_Tables_number 123
_symmetry_space_group_name_Hall '-P 4 2'
loop_
_atom_site_label
_atom_site_fract_x
_atom_site_fract_y
_atom_site_fract_z
Ba1 0.0000 0.0000 0.0000
Sr1 0.5000 0.5000 0.5000
N1 0.0000 0.5000 0.5000
F1 0.5000 0.5000 0.0000